[1]
{"formula": "Mo2AsCl", "functional": "PBEsol", "state": "optimized geometry", "cell": [[4.7120, -1.5582, 0.0000], [4.7120, 1.5582, 0.0000], [-0.3978, 0.0000, 5.7431]], "species": ["Mo", "Mo", "As", "Cl"], "fractional_positions": [[0.0000, 0.0000, 0.0000], [0.6143, 0.6143, 0.2677], [0.2622, 0.2622, 0.0144], [0.4860, 0.4860, 0.6115]], "dos_at_fermi_per_ev_cell": 0.935, "sg": "No. 8", "raw_formation_energy_mev_per_atom": 184, "dft_energy_ry_per_atom": -0.550, "polymorph_energy_mev_per_atom": 36}


[2]
{"formula": "Mo2AsCl", "functional": "PBEsol", "state": "optimized geometry", "cell": [[4.4000, -1.5758, 0.0000], [4.4000, 1.5758, 0.0000], [-3.8092, 0.0000, 5.9541]], "species": ["Mo", "Mo", "As", "Cl"], "fractional_positions": [[0.2188, 0.2188, 0.3555], [0.7812, 0.7812, 0.6445], [0.0000, 0.0000, 0.5000], [0.5000, 0.5000, 0.0000]], "dos_at_fermi_per_ev_cell": 2.035, "sg": "No. 12", "raw_formation_energy_mev_per_atom": 149, "dft_energy_ry_per_atom": -0.552, "polymorph_energy_mev_per_atom": 0}


[3]
{"formula": "Mo2AsCl", "functional": "PBEsol", "state": "optimized geometry", "cell": [[-1.5095, 2.1026, 4.7516], [1.5095, -2.1026, 4.7516], [1.5095, 2.1026, -4.7516]], "species": ["Mo", "Mo", "As", "Cl"], "fractional_positions": [[0.0000, 0.0000, 0.0000], [0.7337, 0.2337, 0.5000], [0.2377, 0.7377, 0.5000], [0.5181, 0.5181, 0.0000]], "dos_at_fermi_per_ev_cell": 3.825, "sg": "No. 44", "raw_formation_energy_mev_per_atom": 337, "dft_energy_ry_per_atom": -0.538, "polymorph_energy_mev_per_atom": 188}